## Nd7Tm3Sc (PBE)

Data for an optimized crystal structure of Nd7Tm3Sc.

```
11
Lattice="5.8084 -0.1574 -0.2016 -2.6596 8.0337 1.0344 -2.6596 -0.9441 8.0448" Properties=species:S:1:pos:R:3 pbc="T T T"
Tm -2.6596 6.2125 2.4565
Nd 0.1106 1.4754 1.8895
Nd 0.1518 4.7250 0.7571
Sc 0.2446 3.4660 4.4387
Nd 0.1518 -0.4110 4.7676
Tm 2.9042 -0.0787 -0.1008
Nd 0.3786 5.4567 6.9880
Nd -2.6596 3.5448 4.5396
Nd 0.3374 2.2071 8.1204
Tm -2.6596 0.8771 6.6227
Nd 0.3374 7.3431 4.1099
```

Properties
- symmetry = No. 12
- crystal system = monoclinic
- DOS at the Fermi energy (states/eV per cell) = 13.51
- energy relative to the elements (eV/atom) = 0.22